Co3OF5 after structural relaxation. Source: the Alexandria database, functional PBE+U.

Calculated volume = 206.61 Å³ per cell
Theoretical density = 4.63 g cm⁻³
Magnetic moment = 0.8870 μB per atom
Final energy = -5.115 eV/atom
Offset from the most stable computed form = 36 meV per atom

a b c (Å): 5.6436 5.6436 7.2109
angles (deg): 106.20 106.20 73.70
With the nearest neighbours (Å) after each atom.
Element x y z (fractional)
Co (0.0000, 0.0000, 0.0000)  1 O 1.91, 5 F 2.06-2.07
Co (0.9999, 0.9999, 0.4810)  1 O 1.99, 5 F 2.04-2.11
Co (0.3417, 0.3417, 0.3229)  6 F 2.00-2.06
Co (0.3508, 0.3508, 0.8216)  1 O 2.00, 5 F 2.03-2.11
Co (0.6680, 0.6680, 0.6709)  1 O 1.85, 5 F 2.04-2.06
Co (0.6814, 0.6814, 0.1456)  2 O 1.85-1.88, 2 F 2.00-2.06
O (0.5828, 0.5828, 0.8695)  3 Co 1.85-2.00
O (0.8954, 0.8954, 0.1885)  3 Co 1.85-1.99
F (0.0391, 0.6436, 0.8187)  3 Co 2.05-2.06
F (0.1096, 0.1096, 0.7919)  3 Co 2.07-2.11
F (0.2352, 0.2352, 0.5242)  3 Co 2.00-2.04
F (0.3062, 0.7013, 0.4990)  3 Co 2.05-2.06
F (0.3664, 0.9767, 0.1609)  3 Co 2.05-2.07
F (0.4552, 0.4552, 0.1267)  3 Co 2.00-2.07
F (0.6436, 0.0391, 0.8187)  3 Co 2.05-2.06
F (0.7013, 0.3062, 0.4990)  3 Co 2.05-2.06
F (0.7601, 0.7601, 0.4497)  3 Co 2.04-2.10
F (0.9767, 0.3664, 0.1609)  3 Co 2.05-2.07